# 1
The following is a DFT calculation (PBE) of an optimized crystal structure of Sr2ZnPbO4.

Computed properties:
The value obtained for the uncorrected formation energy is -1.81 eV/atom. The density of states at the Fermi level comes out at 0.0 states/eV/cell.

Lattice parameters (Å, degrees): 10.5836 9.5816 7.4503 90.00 134.65 90.00
Space group C2/c (No. 15)
One atom of each set of equivalent atoms:
Sr1 0.0000 0.0000 0.0000 x4
Sr2 0.2500 0.2500 0.0000 x4
Zn1 0.2500 0.2500 0.5000 x4
Pb1 0.0000 0.5000 0.0000 x4
O1 0.0005 0.2480 0.5311 x8
O2 0.2413 0.0447 0.4912 x8

***

# 2
The following is a DFT calculation (PBE) of an optimized crystal structure of Sr2ZrPbO5.

Computed properties:
The value obtained for the uncorrected formation energy is -2.52 eV/atom. The density of states at the Fermi level comes out at 0.0 states/eV/cell.

Lattice parameters (Å, degrees): 3.4197 15.5739 11.8681 90.00 90.00 90.00
Space group Cmc2_1 (No. 36)
One atom of each set of equivalent atoms:
Sr1 0.0000 0.1152 0.0000 x4
Sr2 0.0000 0.1249 0.4800 x4
Zr1 0.0000 0.2493 0.7199 x4
Pb1 0.0000 0.4755 0.2550 x4
O1 0.0000 0.1182 0.7905 x4
O2 0.0000 0.2235 0.3240 x4
O3 0.0000 0.2987 0.1075 x4
O4 0.0000 0.3590 0.6349 x4
O5 0.0000 0.4898 0.9411 x4

***

# 3
The following is a DFT calculation (PBE) of an optimized crystal structure of Ta6Pb4O19.

Computed properties:
The value obtained for the uncorrected formation energy is -2.40 eV/atom. The density of states at the Fermi level comes out at 0.0 states/eV/cell. The distance to the lowest polymorph of the same formula comes out at 1.07 eV per formula unit.

Lattice parameters (Å, degrees): 9.5998 9.5998 9.5998 90.00 90.00 90.00
Space group I23 (No. 197)
One atom of each set of equivalent atoms:
Ta1 0.0000 0.3386 0.5000 x12
Pb1 0.1455 0.1455 0.8545 x8
O1 0.0000 0.0000 0.0000 x2
O2 0.0000 0.0000 0.3624 x12
O3 0.0031 0.3423 0.7090 x24

***

# 4
The following is a DFT calculation (PBE) of an optimized crystal structure of Ta3PbO.

Computed properties:
The value obtained for the uncorrected formation energy is 3.03 eV/atom. The density of states at the Fermi level comes out at 5.8 states/eV/cell. The distance to the lowest polymorph of the same formula comes out at 16.41 eV per formula unit.

Lattice parameters (Å, degrees): 5.1723 5.1723 5.1723 90.00 90.00 90.00
Space group Pm-3m (No. 221)
One atom of each set of equivalent atoms:
Ta1 0.0000 0.0000 0.5000 x3
Pb1 0.0000 0.0000 0.0000 x1
O1 0.5000 0.5000 0.5000 x1

***

# 5
The following is a DFT calculation (PBE) of an optimized crystal structure of Ta2PbO2.

Computed properties:
The value obtained for the uncorrected formation energy is -1.11 eV/atom. The density of states at the Fermi level comes out at 3.2 states/eV/cell. The distance to the lowest polymorph of the same formula comes out at 0.00 eV per formula unit.

Lattice parameters (Å, degrees): 3.6446 3.6446 10.8918 90.00 90.00 90.00
Space group I4/mmm (No. 139)
One atom of each set of equivalent atoms:
Ta1 0.0000 0.0000 0.1394 x4
Pb1 0.0000 0.0000 0.5000 x2
O1 0.0000 0.5000 0.2500 x4

***

# 6
The following is a DFT calculation (PBE) of an optimized crystal structure of Ta2PbO6.

Computed properties:
The value obtained for the uncorrected formation energy is -2.51 eV/atom. The density of states at the Fermi level comes out at 0.0 states/eV/cell. The distance to the lowest polymorph of the same formula comes out at 0.27 eV per formula unit.

Lattice parameters (Å, degrees): 15.8574 6.0640 5.3114 90.00 90.00 90.00
Space group Pbcn (No. 60)
One atom of each set of equivalent atoms:
Ta1 0.1705 0.1767 0.2076 x8
Pb1 0.0000 0.2863 0.7500 x4
O1 0.0932 0.3850 0.1184 x8
O2 0.1122 0.0697 0.5073 x8
O3 0.2442 0.1473 0.8869 x8

***

# 7
The following is a DFT calculation (PBE) of an optimized crystal structure of TaPb3O.

Computed properties:
The value obtained for the uncorrected formation energy is 0.37 eV/atom. The density of states at the Fermi level comes out at 4.1 states/eV/cell. The distance to the lowest polymorph of the same formula comes out at 0.00 eV per formula unit.

Lattice parameters (Å, degrees): 4.8654 4.8654 4.8654 90.00 90.00 90.00
Space group Pm-3m (No. 221)
One atom of each set of equivalent atoms:
Ta1 0.0000 0.0000 0.0000 x1
Pb1 0.0000 0.5000 0.5000 x3
O1 0.5000 0.5000 0.5000 x1

***

# 8
The following is a DFT calculation (PBE) of an optimized crystal structure of TaPb2O6.

Computed properties:
The value obtained for the uncorrected formation energy is -1.42 eV/atom. The density of states at the Fermi level comes out at 2.4 states/eV/cell.

Lattice parameters (Å, degrees): 5.9046 5.9046 3.3643 90.00 90.00 120.00
Space group P-62m (No. 189)
One atom of each set of equivalent atoms:
Ta1 0.0000 0.0000 0.0000 x1
Pb1 0.3333 0.6667 0.5000 x2
O1 0.0000 0.2366 0.5000 x3
O2 0.0000 0.6276 0.0000 x3